Entry from Alexandria: an optimized crystal structure of K2Pu2InS6 (GGA-PBE).

Cell lengths 6.917, 6.917, 7.852 Å; angles 98.13, 98.13, 120.28 degrees
Last column: magnetic moment on the atom in μB.
Positions (direct):
K: 0.835 0.165 0.000  0.00
K: 0.165 0.835 0.000  0.00
Pu: 0.334 0.666 0.500  4.79
Pu: 0.666 0.334 0.500  4.79
In: 0.000 0.000 0.500  0.03
S: 0.740 0.740 0.692  -0.10
S: 0.061 0.397 0.694  -0.10
S: 0.260 0.260 0.308  -0.10
S: 0.397 0.061 0.694  -0.10
S: 0.939 0.603 0.306  -0.10
S: 0.603 0.939 0.306  -0.10

Its crystal system is monoclinic. For the total energy, the calculation gives -72.48 eV/cell. For the formation energy (no corrections), the calculation gives -1.28 eV/atom. The value obtained for the density of states at the Fermi level is 1.549 states/eV per atom. Its total magnetization is 9.0 μB/cell.



Entry from Alexandria: an optimized crystal structure of CaPr7Dy2 (GGA-PBE).

Cell lengths 5.877, 9.271, 9.271 Å; angles 120.86, 90.00, 90.00 degrees
Positions (direct):
Ca: 0.000 0.000 0.000
Pr: 0.000 0.756 0.244
Pr: 0.000 0.244 0.756
Pr: 0.500 0.064 0.301
Pr: 0.500 0.936 0.699
Pr: 0.500 0.301 0.064
Pr: 0.500 0.699 0.936
Pr: 0.500 0.500 0.500
Dy: 0.500 0.704 0.296
Dy: 0.500 0.296 0.704

Its crystal system is orthorhombic. For the total energy, the calculation gives -38.85 eV/cell. The value obtained for the energy relative to the elements is 580.9 meV per atom. The value obtained for the density of states at the Fermi level is 1.392 states/eV per atom. Its total magnetization is 0.0 μB/cell.



Entry from Alexandria: an optimized crystal structure of Ni3GePb (GGA-PBE).

Cell lengths 4.446, 4.446, 4.446 Å; angles 90.00, 90.00, 90.00 degrees
Positions (direct):
Pb: 0.500 0.500 0.500
Ni: 0.000 0.500 0.000
Ni: 0.000 0.000 0.500
Ni: 0.500 0.000 0.000
Ge: 0.000 0.000 0.000

Its crystal system is cubic. For the total energy, the calculation gives -23.93 eV/cell. The value obtained for the energy relative to the elements is 348.0 meV per atom. The value obtained for the density of states at the Fermi level is 0.843 states/eV per atom. Its total magnetization is 0.0 μB/cell.



Entry from Alexandria: an optimized crystal structure of BaZnTeCl2O3 (GGA-PBE).

Cell lengths 5.711, 12.492, 20.000 Å; angles 90.00, 90.00, 90.00 degrees
Positions (direct):
Ba: 0.750 0.161 0.830
Ba: 0.750 0.564 0.211
Ba: 0.750 0.661 0.670
Ba: 0.250 0.839 0.170
Ba: 0.250 0.936 0.711
Ba: 0.750 0.064 0.289
Ba: 0.250 0.339 0.330
Ba: 0.250 0.436 0.789
Zn: 0.750 0.924 0.573
Zn: 0.250 0.479 0.595
Zn: 0.750 0.021 0.095
Zn: 0.250 0.076 0.427
Zn: 0.750 0.521 0.405
Zn: 0.750 0.424 0.927
Zn: 0.250 0.979 0.905
Zn: 0.250 0.576 0.073
Te: 0.250 0.648 0.338
Te: 0.250 0.148 0.162
Te: 0.250 0.267 0.950
Te: 0.750 0.352 0.662
Te: 0.750 0.233 0.450
Te: 0.750 0.733 0.050
Te: 0.250 0.767 0.550
Te: 0.750 0.852 0.838
Cl: 0.750 0.127 0.005
Cl: 0.250 0.058 0.539
Cl: 0.750 0.555 0.846
Cl: 0.750 0.814 0.259
Cl: 0.750 0.442 0.039
Cl: 0.250 0.945 0.346
Cl: 0.250 0.873 0.995
Cl: 0.750 0.942 0.461
Cl: 0.750 0.055 0.654
Cl: 0.250 0.558 0.961
Cl: 0.250 0.686 0.759
Cl: 0.250 0.445 0.154
Cl: 0.750 0.314 0.241
Cl: 0.750 0.627 0.495
Cl: 0.250 0.186 0.741
Cl: 0.250 0.373 0.505
O: 0.993 0.675 0.104
O: 0.007 0.325 0.896
O: 0.007 0.825 0.604
O: 0.006 0.043 0.162
O: 0.750 0.833 0.746
O: 0.250 0.667 0.246
O: 0.006 0.543 0.338
O: 0.750 0.864 0.095
O: 0.250 0.136 0.905
O: 0.507 0.675 0.104
O: 0.250 0.167 0.254
O: 0.493 0.825 0.604
O: 0.494 0.043 0.162
O: 0.750 0.333 0.754
O: 0.250 0.636 0.595
O: 0.493 0.325 0.896
O: 0.994 0.957 0.838
O: 0.506 0.457 0.662
O: 0.494 0.543 0.338
O: 0.750 0.364 0.405
O: 0.993 0.175 0.396
O: 0.507 0.175 0.396
O: 0.994 0.457 0.662
O: 0.506 0.957 0.838

Its crystal system is orthorhombic. For the total energy, the calculation gives -308.80 eV/cell. For the formation energy (no corrections), the calculation gives -1.71 eV/atom. The value obtained for the density of states at the Fermi level is 0.000 states/eV per atom. Its total magnetization is 0.0 μB/cell.



Entry from Alexandria: an optimized crystal structure of La7HgPb2N2 (GGA-PBE).

Cell lengths 5.097, 5.097, 13.872 Å; angles 79.50, 79.50, 90.04 degrees
Positions (direct):
La: 0.500 0.500 0.000
La: 0.308 0.308 0.387
La: 0.692 0.692 0.613
La: 0.907 0.407 0.186
La: 0.407 0.907 0.186
La: 0.593 0.093 0.814
La: 0.093 0.593 0.814
Hg: 0.000 0.000 0.000
Pb: 0.822 0.822 0.359
Pb: 0.178 0.178 0.641
N: 0.599 0.599 0.800
N: 0.401 0.401 0.200

Its crystal system is monoclinic. For the total energy, the calculation gives -68.78 eV/cell. For the formation energy (no corrections), the calculation gives -0.83 eV/atom. The value obtained for the density of states at the Fermi level is 0.660 states/eV per atom. Its total magnetization is 0.0 μB/cell.



Entry from Alexandria: an optimized crystal structure of La5NdEr2 (GGA-PBE).

Cell lengths 3.637, 11.408, 9.042 Å; angles 129.11, 101.62, 90.00 degrees
Positions (direct):
La: 0.000 0.500 0.000
La: 0.630 0.400 0.261
La: 0.370 0.600 0.739
La: 0.630 0.861 0.261
La: 0.370 0.139 0.739
Nd: 0.000 0.000 0.000
Er: 0.257 0.758 0.516
Er: 0.743 0.242 0.484

Its crystal system is orthorhombic. For the total energy, the calculation gives -38.26 eV/cell. The value obtained for the energy relative to the elements is 33.9 meV per atom. The value obtained for the density of states at the Fermi level is 1.521 states/eV per atom. Its total magnetization is 0.0 μB/cell.



Entry from Alexandria: an optimized crystal structure of LiReBr (GGA-PBE).

Cell lengths 3.015, 3.015, 6.372 Å; angles 90.00, 90.00, 120.00 degrees
Positions (direct):
Br: 0.000 0.000 0.989
Li: 0.333 0.667 0.336
Re: 0.667 0.333 0.676

Its crystal system is trigonal. For the total energy, the calculation gives -14.24 eV/cell. For the formation energy (no corrections), the calculation gives 0.60 eV/atom. The value obtained for the density of states at the Fermi level is 0.713 states/eV per atom. Its total magnetization is 0.0 μB/cell.



Entry from Alexandria: an optimized crystal structure of CrFe2HRh (GGA-PBE).

Cell lengths 3.618, 3.618, 3.685 Å; angles 90.00, 90.00, 90.00 degrees
Positions (direct):
Cr: 0.000 0.000 0.500
Rh: 0.500 0.500 0.500
Fe: 0.000 0.500 0.000
Fe: 0.500 0.000 0.000
H: 0.000 0.000 0.000

Its crystal system is tetragonal. For the total energy, the calculation gives -37.04 eV/cell. The value obtained for the density of states at the Fermi level is 0.954 states/eV per atom. Its total magnetization is 0.0 μB/cell.



Entry from Alexandria: an optimized crystal structure of K3La2HoTe6 (GGA-PBE).

Cell lengths 8.033, 8.033, 8.658 Å; angles 98.91, 98.91, 120.01 degrees
Positions (direct):
K: 0.169 0.831 0.500
K: 0.831 0.169 0.500
K: 0.500 0.500 0.500
La: 0.334 0.666 0.000
La: 0.666 0.334 0.000
Ho: 0.000 0.000 0.000
Te: 0.929 0.607 0.787
Te: 0.750 0.750 0.213
Te: 0.071 0.393 0.213
Te: 0.607 0.929 0.787
Te: 0.250 0.250 0.787
Te: 0.393 0.071 0.213

Its crystal system is monoclinic. For the total energy, the calculation gives -54.08 eV/cell. For the formation energy (no corrections), the calculation gives -1.46 eV/atom. The value obtained for the density of states at the Fermi level is 0.000 states/eV per atom. Its total magnetization is 0.0 μB/cell.



Entry from Alexandria: an optimized crystal structure of Li2TlCoH (GGA-PBE).

Cell lengths 4.066, 4.066, 3.631 Å; angles 90.00, 90.00, 90.00 degrees
Last column: magnetic moment on the atom in μB.
Positions (direct):
H: 0.000 0.000 0.000  0.00
Tl: 0.500 0.500 0.500  -0.01
Co: 0.000 0.000 0.500  0.87
Li: 0.000 0.500 0.000  -0.01
Li: 0.500 0.000 0.000  -0.01

Its crystal system is tetragonal. For the total energy, the calculation gives -16.79 eV/cell. The value obtained for the density of states at the Fermi level is 0.712 states/eV per atom. Its total magnetization is 0.8 μB/cell.



Entry from Alexandria: an optimized crystal structure of MnSiPtCl2 (GGA-PBE).

Cell lengths 4.181, 5.476, 4.181 Å; angles 90.00, 90.00, 90.00 degrees
Positions (direct):
Si: 0.000 0.500 0.000
Mn: 0.000 0.000 0.000
Pt: 0.500 0.500 0.500
Cl: 0.000 0.000 0.500
Cl: 0.500 0.000 0.000

Its crystal system is tetragonal. For the total energy, the calculation gives -21.24 eV/cell. For the formation energy (no corrections), the calculation gives 0.62 eV/atom. The value obtained for the density of states at the Fermi level is 1.309 states/eV per atom. Its total magnetization is 0.0 μB/cell.



Entry from Alexandria: an optimized crystal structure of CaLa2Co (GGA-PBE).

Cell lengths 7.884, 7.884, 7.889 Å; angles 60.02, 60.02, 90.00 degrees
Positions (direct):
Ca: 0.500 0.500 0.000
Ca: 0.250 0.750 0.500
Co: 0.000 0.000 0.000
Co: 0.750 0.250 0.500
La: 0.875 0.125 0.250
La: 0.875 0.625 0.250
La: 0.375 0.125 0.750
La: 0.875 0.125 0.750

Its crystal system is tetragonal. For the total energy, the calculation gives -35.79 eV/cell. The value obtained for the energy relative to the elements is 267.2 meV per atom. The value obtained for the density of states at the Fermi level is 1.165 states/eV per atom. Its total magnetization is 0.0 μB/cell.



Entry from Alexandria: an optimized crystal structure of Sm4TcAu (GGA-PBE).

Cell lengths 6.439, 8.010, 8.010 Å; angles 110.24, 106.66, 106.66 degrees
Positions (direct):
Sm: 0.804 0.639 0.779
Sm: 0.084 0.942 0.289
Sm: 0.696 0.221 0.361
Sm: 0.416 0.711 0.058
Sm: 0.584 0.289 0.942
Sm: 0.304 0.779 0.639
Sm: 0.916 0.058 0.711
Sm: 0.196 0.361 0.221
Tc: 0.250 0.003 0.997
Tc: 0.750 0.997 0.003
Au: 0.750 0.630 0.370
Au: 0.250 0.370 0.630

Its crystal system is monoclinic. For the total energy, the calculation gives -68.67 eV/cell. The value obtained for the energy relative to the elements is -302.8 meV per atom. The value obtained for the density of states at the Fermi level is 0.891 states/eV per atom. Its total magnetization is 0.0 μB/cell.



Entry from Alexandria: an optimized crystal structure of TcHgI3 (GGA-PBE).

Cell lengths 5.602, 5.602, 5.602 Å; angles 90.00, 90.00, 90.00 degrees
Last column: magnetic moment on the atom in μB.
Positions (direct):
I: 0.000 0.500 0.000  0.09
I: 0.000 0.000 0.500  0.05
I: 0.500 0.000 0.000  0.17
Hg: 0.500 0.500 0.500  0.03
Tc: 0.000 0.000 0.000  2.59

Its crystal system is cubic. For the total energy, the calculation gives -14.11 eV/cell. For the formation energy (no corrections), the calculation gives 0.24 eV/atom. The value obtained for the density of states at the Fermi level is 0.722 states/eV per atom. Its total magnetization is 3.4 μB/cell.



Entry from Alexandria: an optimized crystal structure of Hf3BSb (GGA-PBE).

Cell lengths 4.792, 5.403, 7.309 Å; angles 90.00, 90.00, 90.00 degrees
Positions (direct):
Hf: 0.500 0.000 0.000
Hf: 0.500 0.500 0.000
Hf: 0.000 0.750 0.315
Hf: 0.000 0.250 0.685
Hf: 0.500 0.250 0.385
Hf: 0.500 0.750 0.615
B: 0.500 0.750 0.295
B: 0.500 0.250 0.705
Sb: 0.000 0.250 0.152
Sb: 0.000 0.750 0.848

Its crystal system is orthorhombic. For the total energy, the calculation gives -85.33 eV/cell. For the formation energy (no corrections), the calculation gives -0.40 eV/atom. The value obtained for the density of states at the Fermi level is 0.457 states/eV per atom. Its total magnetization is 0.0 μB/cell.



Entry from Alexandria: an optimized crystal structure of Sr2LiAg3Bi4 (GGA-PBE).

Cell lengths 4.784, 4.784, 12.614 Å; angles 90.00, 90.00, 90.00 degrees
Positions (direct):
Sr: 0.500 0.000 0.261
Sr: 0.000 0.500 0.739
Li: 0.500 0.500 0.500
Ag: 0.000 0.000 0.500
Ag: 0.500 0.000 0.854
Ag: 0.000 0.500 0.146
Bi: 0.500 0.500 0.000
Bi: 0.000 0.000 0.000
Bi: 0.500 0.000 0.633
Bi: 0.000 0.500 0.367

Its crystal system is tetragonal. For the total energy, the calculation gives -33.56 eV/cell. The value obtained for the energy relative to the elements is -421.0 meV per atom. The value obtained for the density of states at the Fermi level is 0.488 states/eV per atom. Its total magnetization is 0.0 μB/cell.



Entry from Alexandria: an optimized crystal structure of LiPrScTl (GGA-PBE).

Cell lengths 5.260, 5.260, 5.260 Å; angles 60.00, 60.00, 60.00 degrees
Positions (direct):
Pr: 0.250 0.250 0.250
Sc: 0.750 0.750 0.750
Tl: 0.500 0.500 0.500
Li: 0.000 0.000 0.000

Its crystal system is cubic. For the total energy, the calculation gives -16.06 eV/cell. The value obtained for the energy relative to the elements is -166.4 meV per atom. The value obtained for the density of states at the Fermi level is 1.175 states/eV per atom. Its total magnetization is 0.0 μB/cell.



Entry from Alexandria: an optimized crystal structure of Tb2HoTe3 (GGA-PBE).

Cell lengths 4.394, 6.144, 7.524 Å; angles 114.10, 106.98, 90.00 degrees
Positions (direct):
Tb: 0.830 0.830 0.160
Tb: 0.170 0.170 0.840
Ho: 0.500 0.500 0.500
Te: 0.836 0.336 0.173
Te: 0.164 0.664 0.827
Te: 0.500 0.000 0.500

Its crystal system is orthorhombic. For the total energy, the calculation gives -30.99 eV/cell. For the formation energy (no corrections), the calculation gives -1.29 eV/atom. The value obtained for the density of states at the Fermi level is 0.467 states/eV per atom. Its total magnetization is 0.0 μB/cell.